The following is a DFT calculation (PBE) of an optimized crystal structure of Pm2Pr3Nd5.

Lattice parameters (Å, degrees): 12.351 17.490 6.659 90.00 90.00 90.00
Space group Ibam (No. 72)
Inequivalent atoms, fractional coordinates:
Pm (0.090, 0.168, 0.000)
Pr (0.000, 0.000, 0.250)
Pr (0.085, 0.332, 0.500)
Nd (0.000, 0.500, 0.250)
Nd (0.245, 0.169, 0.500)
Nd (0.249, 0.500, 0.250)

Final energy, eV/atom: -4.51
E_form, eV/atom: 0.25
ΔE to the lowest computed polymorph, kJ per mole of atoms: 10.73
Total magnetization, μB/f.u.: 0.00



The following is a DFT calculation (PBE) of an optimized crystal structure of Tb4Cd3In.

Lattice parameters (Å, degrees): 3.662 4.896 12.123 90.00 90.00 90.00
Space group Pmm2 (No. 25)
Inequivalent atoms, fractional coordinates:
Tb (0.000, 0.000, 0.000)
Tb (0.000, 0.500, 0.318)
Tb (0.500, 0.000, 0.497)
Tb (0.500, 0.500, 0.819)
Cd (0.000, 0.500, 0.584)
Cd (0.500, 0.000, 0.231)
Cd (0.500, 0.500, 0.086)
In (0.000, 0.000, 0.733)

Final energy, eV/atom: -3.31
E_form, eV/atom: -0.31
ΔE to the lowest computed polymorph, kJ per mole of atoms: 5.18
Total magnetization, μB/f.u.: 0.00



The following is a DFT calculation (PBE) of an optimized crystal structure of La8P3NCl4.

Lattice parameters (Å, degrees): 8.2580 8.2580 21.1123 90.00 90.00 120.00
Space group R-3m (No. 166, hexagonal axes)
Inequivalent atoms, fractional coordinates:
La (0.0000, 0.0000, 0.2414)
La (0.0302, 0.5151, 0.2361)
P (0.0000, 0.5000, 0.5000)
N (0.0000, 0.0000, 0.5000)
Cl (0.0000, 0.0000, 0.0000)
Cl (0.0000, 0.5000, 0.0000)

Final energy, eV/atom: -6.13
Total magnetization, μB/f.u.: 0.00



The following is a DFT calculation (PBE) of an optimized crystal structure of Ga2SiGe.

Lattice parameters (Å, degrees): 5.228 5.228 13.263 90.00 90.00 90.00
Space group I-42d (No. 122)
Inequivalent atoms, fractional coordinates:
Ga (0.237, 0.250, 0.125)
Si (0.000, 0.000, 0.000)
Ge (0.000, 0.000, 0.500)

Final energy, eV/atom: -3.81
ΔE to the lowest computed polymorph, kJ per mole of atoms: 0.00
Total magnetization, μB/f.u.: 0.00